Tb3AlSi2Pt9: relaxed, PBE.

a b c (Å): 6.3325 6.3325 8.9267
angles (deg): 90.00 90.00 120.00
With the nearest neighbours (Å) after each atom.
Sites, in units of the cell vectors:
Tb (0.0000, 0.0000, 0.0000)  12 Pt 2.95-3.17
Tb (0.3333, 0.6667, 0.7177)  9 Pt 3.11-3.18
Tb (0.6667, 0.3333, 0.2823)  9 Pt 3.11-3.18
Al (0.0000, 0.0000, 0.5000)  6 Pt 2.51
Si (0.3333, 0.6667, 0.1824)  6 Pt 2.27-2.45
Si (0.6667, 0.3333, 0.8176)  6 Pt 2.27-2.45
Pt (0.0000, 0.5000, 0.0000)  2 Si 2.45
Pt (0.1427, 0.2854, 0.2800)  1 Si 2.27, 1 Al 2.51
Pt (0.1427, 0.8573, 0.2800)  1 Si 2.27, 1 Al 2.51
Pt (0.2854, 0.1427, 0.7200)  1 Si 2.27, 1 Al 2.51
Pt (0.5000, 0.0000, 0.0000)  2 Si 2.45
Pt (0.5000, 0.5000, 0.0000)  2 Si 2.45
Pt (0.7146, 0.8573, 0.2800)  1 Si 2.27, 1 Al 2.51
Pt (0.8573, 0.1427, 0.7200)  1 Si 2.27, 1 Al 2.51
Pt (0.8573, 0.7146, 0.7200)  1 Si 2.27, 1 Al 2.51

## Properties
E   -6.318 eV per atom
DOS at the Fermi energy   5.2 states/eV per cell
Theoretical density   12.4 Mg/m³
Total moment   0.00 μB per formula unit
V   310.0 Å³/cell
Symmetry   P-3m1

***

Tb2AlSi3Pt4: relaxed, PBE.

a b c (Å): 4.1925 4.1925 10.0643
angles (deg): 90.00 90.00 90.00
With the nearest neighbours (Å) after each atom.
Sites, in units of the cell vectors:
Tb (0.0000, 0.5000, 0.2492)  8 Pt 3.18-3.28, 6 Si 3.20-3.27, 2 Al 3.27
Tb (0.5000, 0.0000, 0.7508)  8 Pt 3.18-3.28, 6 Si 3.20-3.27, 2 Al 3.27
Al (0.5000, 0.5000, 0.0000)  4 Pt 2.49
Si (0.0000, 0.0000, 0.0000)  4 Pt 2.49
Si (0.0000, 0.5000, 0.6313)  5 Pt 2.36-2.48
Si (0.5000, 0.0000, 0.3687)  5 Pt 2.36-2.48
Pt (0.0000, 0.0000, 0.5000)  4 Si 2.48
Pt (0.0000, 0.5000, 0.8662)  3 Si 2.36-2.49, 2 Al 2.49
Pt (0.5000, 0.0000, 0.1338)  3 Si 2.36-2.49, 2 Al 2.49
Pt (0.5000, 0.5000, 0.5000)  4 Si 2.48

## Properties
E   -6.479 eV per atom
DOS at the Fermi energy   5.4 states/eV per cell
Theoretical density   11.4 Mg/m³
Total moment   0.00 μB per formula unit
V   176.9 Å³/cell
Symmetry   P-4m2

***

What did the first record say?
Tb3AlSi2Pt9: relaxed, PBE.

a b c (Å): 6.3325 6.3325 8.9267
angles (deg): 90.00 90.00 120.00
With the nearest neighbours (Å) after each atom.
Sites, in units of the cell vectors:
Tb (0.0000, 0.0000, 0.0000)  12 Pt 2.95-3.17
Tb (0.3333, 0.6667, 0.7177)  9 Pt 3.11-3.18
Tb (0.6667, 0.3333, 0.2823)  9 Pt 3.11-3.18
Al (0.0000, 0.0000, 0.5000)  6 Pt 2.51
Si (0.3333, 0.6667, 0.1824)  6 Pt 2.27-2.45
Si (0.6667, 0.3333, 0.8176)  6 Pt 2.27-2.45
Pt (0.0000, 0.5000, 0.0000)  2 Si 2.45
Pt (0.1427, 0.2854, 0.2800)  1 Si 2.27, 1 Al 2.51
Pt (0.1427, 0.8573, 0.2800)  1 Si 2.27, 1 Al 2.51
Pt (0.2854, 0.1427, 0.7200)  1 Si 2.27, 1 Al 2.51
Pt (0.5000, 0.0000, 0.0000)  2 Si 2.45
Pt (0.5000, 0.5000, 0.0000)  2 Si 2.45
Pt (0.7146, 0.8573, 0.2800)  1 Si 2.27, 1 Al 2.51
Pt (0.8573, 0.1427, 0.7200)  1 Si 2.27, 1 Al 2.51
Pt (0.8573, 0.7146, 0.7200)  1 Si 2.27, 1 Al 2.51

## Properties
E   -6.318 eV per atom
DOS at the Fermi energy   5.2 states/eV per cell
Theoretical density   12.4 Mg/m³
Total moment   0.00 μB per formula unit
V   310.0 Å³/cell
Symmetry   P-3m1